Computed, not measured: a relaxed Y2CuNiH crystal at the PBE level of DFT.

Cell lengths 4.859, 4.859, 3.524 Å; angles 90.00, 90.00, 90.00 degrees
Atoms (fractional coordinates):
Y (0.500, 0.000, 0.000)
Y (0.000, 0.500, 0.000)
Cu (0.000, 0.000, 0.500)
H (0.000, 0.000, 0.000)
Ni (0.500, 0.500, 0.500)

Computed properties:
* space-group type: P4/mmm
* energy above the most stable polymorph in this dataset: 48 meV per atom

***

Computed, not measured: a relaxed ZnCuNi2H crystal at the PBE level of DFT.

Cell lengths 3.661, 3.661, 3.654 Å; angles 90.00, 90.00, 90.00 degrees
Atoms (fractional coordinates):
Zn (0.500, 0.500, 0.500)
Ni (0.500, 0.000, 0.000)
H (0.000, 0.000, 0.000)
Cu (0.000, 0.000, 0.500)
Ni (0.000, 0.500, 0.000)

Computed properties:
* space-group type: P4/mmm
* energy above the most stable polymorph in this dataset: 0 meV per atom

***

Computed, not measured: a relaxed ZnCuNi2H crystal at the PBE level of DFT.

Cell lengths 3.587, 3.587, 3.840 Å; angles 90.00, 90.00, 90.00 degrees
Atoms (fractional coordinates):
Zn (0.000, 0.000, 0.500)
H (0.000, 0.000, 0.000)
Ni (0.500, 0.000, 0.000)
Cu (0.500, 0.500, 0.500)
Ni (0.000, 0.500, 0.000)

Computed properties:
* space-group type: P4/mmm
* energy above the most stable polymorph in this dataset: 91 meV per atom

***

Computed, not measured: a relaxed Np3Cu5H12 crystal at the PBE level of DFT.

Cell lengths 10.052, 10.052, 10.052 Å; angles 109.47, 109.47, 109.47 degrees
Site moments in Bohr magnetons follow the coordinates.
Atoms (fractional coordinates):
Np (0.625, 0.250, 0.375)  3.83
H (0.681, 0.200, 0.585)  -0.01
H (0.980, 0.596, 0.181)  -0.01
Np (0.125, 0.250, 0.875)  3.83
Np (0.750, 0.875, 0.625)  3.83
H (0.904, 0.819, 0.520)  -0.01
Cu (0.000, 0.500, 0.000)  -0.03
H (0.415, 0.115, 0.596)  -0.01
H (0.800, 0.319, 0.915)  -0.01
Cu (0.625, 0.750, 0.875)  0.01
Cu (0.750, 0.125, 0.875)  0.01
H (0.520, 0.200, 0.115)  -0.01
Cu (0.500, 0.000, 0.000)  -0.03
Np (0.250, 0.625, 0.875)  3.83
H (0.915, 0.096, 0.615)  -0.01
H (0.596, 0.615, 0.415)  -0.01
Np (0.250, 0.125, 0.375)  3.83
H (0.319, 0.800, 0.415)  -0.01
H (0.980, 0.385, 0.300)  -0.01
H (0.200, 0.520, 0.615)  -0.01
H (0.181, 0.096, 0.980)  -0.01
Cu (0.375, 0.125, 0.750)  0.01
H (0.700, 0.115, 0.020)  -0.01
H (0.200, 0.681, 0.085)  -0.01
H (0.020, 0.615, 0.700)  -0.01
H (0.700, 0.585, 0.181)  -0.01
H (0.819, 0.915, 0.300)  -0.01
Np (0.625, 0.375, 0.750)  3.83
Cu (0.500, 0.000, 0.500)  -0.03
H (0.181, 0.085, 0.700)  -0.01
H (0.020, 0.404, 0.819)  -0.01
Np (0.875, 0.125, 0.250)  3.83
Np (0.375, 0.625, 0.250)  3.83
Cu (0.500, 0.500, 0.000)  -0.03
Cu (0.000, 0.500, 0.500)  -0.03
Cu (0.875, 0.250, 0.625)  0.01
Cu (0.125, 0.750, 0.375)  0.01
Cu (0.750, 0.625, 0.375)  0.01
H (0.585, 0.700, 0.681)  -0.01
Cu (0.125, 0.375, 0.250)  0.01
H (0.585, 0.885, 0.404)  -0.01
H (0.915, 0.819, 0.800)  -0.01
H (0.300, 0.415, 0.819)  -0.01
H (0.615, 0.596, 0.915)  -0.01
H (0.415, 0.300, 0.319)  -0.01
Np (0.125, 0.875, 0.750)  3.83
Cu (0.375, 0.250, 0.125)  0.01
Np (0.875, 0.750, 0.125)  3.83
H (0.480, 0.681, 0.096)  -0.01
H (0.085, 0.181, 0.200)  -0.01
H (0.300, 0.885, 0.980)  -0.01
H (0.480, 0.800, 0.885)  -0.01
Cu (0.000, 0.000, 0.000)  -0.03
H (0.885, 0.585, 0.904)  -0.01
Cu (0.250, 0.375, 0.625)  0.01
Cu (0.500, 0.500, 0.500)  -0.03
H (0.385, 0.980, 0.800)  -0.01
Cu (0.625, 0.875, 0.250)  0.01
H (0.319, 0.520, 0.404)  -0.01
H (0.681, 0.480, 0.596)  -0.01
Cu (0.875, 0.625, 0.750)  0.01
H (0.085, 0.904, 0.385)  -0.01
Cu (0.250, 0.875, 0.125)  0.01
Np (0.375, 0.750, 0.625)  3.83
H (0.520, 0.319, 0.904)  -0.01
H (0.596, 0.980, 0.681)  -0.01
Np (0.750, 0.375, 0.125)  3.83
H (0.404, 0.385, 0.585)  -0.01
H (0.885, 0.300, 0.480)  -0.01
H (0.904, 0.085, 0.885)  -0.01
H (0.404, 0.020, 0.319)  -0.01
H (0.800, 0.480, 0.385)  -0.01
H (0.115, 0.415, 0.096)  -0.01
Cu (0.000, 0.000, 0.500)  -0.03
H (0.385, 0.404, 0.085)  -0.01
H (0.115, 0.700, 0.520)  -0.01
H (0.615, 0.020, 0.200)  -0.01
H (0.096, 0.181, 0.480)  -0.01
H (0.819, 0.904, 0.020)  -0.01
H (0.096, 0.915, 0.115)  -0.01

Computed properties:
* electronic total energy: -4.94 eV/atom
* space-group type: Ia-3d

***

Computed, not measured: a relaxed NpCu2HO6 crystal at the PBE level of DFT.

Cell lengths 5.911, 5.318, 6.567 Å; angles 81.02, 128.13, 117.05 degrees
Site moments in Bohr magnetons follow the coordinates.
Atoms (fractional coordinates):
O (0.523, 0.979, 0.789)  0.05
O (0.907, 0.085, 0.628)  -0.04
O (0.982, 0.809, 0.237)  0.07
O (0.245, 0.342, 0.188)  0.06
Cu (0.347, 0.165, 0.498)  0.42
Np (0.955, 0.946, 0.936)  -0.22
O (0.359, 0.913, 0.075)  -0.03
Cu (0.541, 0.732, 0.366)  -0.38
O (0.650, 0.553, 0.677)  -0.03
H (0.456, 0.953, 0.908)  0.00

Computed properties:
* electronic total energy: -6.83 eV/atom
* space-group type: P1

***

Computed, not measured: a relaxed NpCuH2O6 crystal at the PBE level of DFT.

Cell lengths 5.222, 6.873, 6.873 Å; angles 82.86, 82.46, 82.46 degrees
Site moments in Bohr magnetons follow the coordinates.
Atoms (fractional coordinates):
O (0.114, 0.979, 0.817)  0.38
O (0.146, 0.292, 0.450)  0.04
O (0.407, 0.843, 0.346)  0.11
O (0.093, 0.654, 0.157)  0.11
H (0.711, 0.669, 0.651)  0.00
O (0.614, 0.817, 0.979)  0.38
O (0.907, 0.346, 0.843)  0.11
O (0.854, 0.708, 0.550)  0.04
O (0.886, 0.021, 0.183)  0.38
H (0.289, 0.331, 0.349)  0.00
Cu (0.250, 0.919, 0.081)  0.81
H (0.211, 0.651, 0.669)  0.00
Cu (0.750, 0.081, 0.919)  0.81
O (0.593, 0.157, 0.654)  0.11
H (0.789, 0.349, 0.331)  0.00
Np (0.750, 0.738, 0.262)  0.00
O (0.386, 0.183, 0.021)  0.38
Np (0.250, 0.262, 0.738)  0.00
O (0.646, 0.450, 0.292)  0.04
O (0.354, 0.550, 0.708)  0.04

Computed properties:
* electronic total energy: -6.70 eV/atom
* space-group type: C2/c

***

Computed, not measured: a relaxed NpCuPH crystal at the PBE level of DFT.

Cell lengths 3.870, 3.870, 7.198 Å; angles 90.00, 90.00, 90.00 degrees
Site moments in Bohr magnetons follow the coordinates.
Atoms (fractional coordinates):
Cu (0.500, 0.500, 0.500)  -0.01
Cu (0.000, 0.000, 0.500)  -0.01
Np (0.500, 0.000, 0.153)  3.79
P (0.000, 0.500, 0.297)  -0.08
H (0.000, 0.000, 0.000)  -0.02
P (0.500, 0.000, 0.703)  -0.08
H (0.500, 0.500, 0.000)  -0.02
Np (0.000, 0.500, 0.847)  3.79

Computed properties:
* electronic total energy: -6.93 eV/atom
* space-group type: P4/nmm

***

Computed, not measured: a relaxed NpCuH8Pt2 crystal at the PBE level of DFT.

Cell lengths 4.884, 4.884, 6.058 Å; angles 90.00, 90.00, 120.00 degrees
Site moments in Bohr magnetons follow the coordinates.
Atoms (fractional coordinates):
H (0.323, 0.162, 0.176)  -0.01
Pt (0.333, 0.667, 0.651)  -0.04
H (0.838, 0.162, 0.176)  -0.01
H (0.667, 0.333, 0.620)  -0.01
H (0.162, 0.323, 0.824)  -0.01
Pt (0.667, 0.333, 0.349)  -0.04
H (0.838, 0.677, 0.176)  -0.01
H (0.333, 0.667, 0.380)  -0.01
H (0.162, 0.838, 0.824)  -0.01
H (0.677, 0.838, 0.824)  -0.01
Np (0.000, 0.000, 0.500)  3.49
Cu (0.000, 0.000, 0.000)  0.03

Computed properties:
* electronic total energy: -4.61 eV/atom
* space-group type: P-3m1

***

Computed, not measured: a relaxed NpCuH8Rh4 crystal at the PBE level of DFT.

Cell lengths 5.745, 5.745, 5.533 Å; angles 58.72, 58.72, 60.00 degrees
Site moments in Bohr magnetons follow the coordinates.
Atoms (fractional coordinates):
Rh (0.003, 0.505, 0.490)  -0.03
H (0.711, 0.711, 0.320)  0.00
H (0.218, 0.218, 0.706)  0.00
Rh (0.003, 0.003, 0.490)  -0.03
Cu (0.996, 0.996, 0.013)  0.01
H (0.768, 0.768, 0.695)  0.00
Rh (0.505, 0.003, 0.490)  -0.03
H (0.218, 0.858, 0.706)  0.00
H (0.225, 0.225, 0.325)  0.00
Rh (0.634, 0.634, 0.097)  -0.14
H (0.858, 0.218, 0.706)  0.00
H (0.711, 0.259, 0.320)  0.00
Np (0.391, 0.391, 0.826)  3.75
H (0.259, 0.711, 0.320)  0.00

Computed properties:
* electronic total energy: -5.28 eV/atom
* space-group type: R3m

***

Computed, not measured: a relaxed Np2CuH12Rh3 crystal at the PBE level of DFT.

Cell lengths 5.883, 5.883, 5.883 Å; angles 63.65, 63.65, 63.65 degrees
Site moments in Bohr magnetons follow the coordinates.
Atoms (fractional coordinates):
H (0.640, 0.111, 0.111)  -0.01
Np (0.384, 0.384, 0.384)  4.27
H (0.111, 0.640, 0.111)  -0.01
H (0.889, 0.360, 0.889)  -0.01
H (0.111, 0.111, 0.640)  -0.01
Rh (0.500, 0.000, 0.000)  0.18
H (0.334, 0.866, 0.334)  -0.01
Rh (0.000, 0.500, 0.000)  0.18
Rh (0.000, 0.000, 0.500)  0.18
Np (0.616, 0.616, 0.616)  4.27
H (0.666, 0.666, 0.134)  -0.01
H (0.334, 0.334, 0.866)  -0.01
Cu (0.000, 0.000, 0.000)  -0.01
H (0.134, 0.666, 0.666)  -0.01
H (0.889, 0.889, 0.360)  -0.01
H (0.360, 0.889, 0.889)  -0.01
H (0.666, 0.134, 0.666)  -0.01
H (0.866, 0.334, 0.334)  -0.01

Computed properties:
* electronic total energy: -5.20 eV/atom
* space-group type: R-3m

***

Computed, not measured: a relaxed NpCuH8Ru2 crystal at the PBE level of DFT.

Cell lengths 4.651, 4.651, 6.094 Å; angles 90.00, 90.00, 120.00 degrees
Site moments in Bohr magnetons follow the coordinates.
Atoms (fractional coordinates):
H (0.835, 0.165, 0.185)  0.01
Cu (0.000, 0.000, 0.000)  0.01
H (0.835, 0.670, 0.185)  0.01
H (0.667, 0.333, 0.641)  0.00
H (0.333, 0.667, 0.359)  0.00
Ru (0.333, 0.667, 0.630)  0.26
H (0.165, 0.835, 0.815)  0.01
H (0.670, 0.835, 0.815)  0.01
Ru (0.667, 0.333, 0.370)  0.26
H (0.165, 0.330, 0.815)  0.01
Np (0.000, 0.000, 0.500)  -2.94
H (0.330, 0.165, 0.185)  0.01

Computed properties:
* electronic total energy: -5.09 eV/atom
* space-group type: P-3m1

***

Computed, not measured: a relaxed CuH3O crystal at the PBE level of DFT.

Cell lengths 3.184, 3.184, 3.184 Å; angles 90.00, 90.00, 90.00 degrees
Atoms (fractional coordinates):
H (0.000, 0.000, 0.500)
H (0.000, 0.500, 0.000)
H (0.500, 0.000, 0.000)
Cu (0.500, 0.500, 0.500)
O (0.000, 0.000, 0.000)

Computed properties:
* space-group type: Pm-3m
* energy above the most stable polymorph in this dataset: 0 meV per atom